# 1
First-principles (PBEsol) data for a relaxed structure of BaCa2Au, as listed in Alexandria via LeMat-Bulk. Values from VASP.

Geometry as Quantum ESPRESSO input:
```
&SYSTEM
  ibrav = 0, nat = 4, ntyp = 3
/
ATOMIC_SPECIES
Ca 40.08 Ca.upf
Au 196.97 Au.upf
Ba 137.33 Ba.upf
CELL_PARAMETERS angstrom
3.8019 0.0000 0.0000
0.0000 5.9371 0.0000
-1.9010 -2.9685 6.2177
ATOMIC_POSITIONS crystal
Ca 0.8134 0.8134 0.6268
Ca 0.1866 0.1866 0.3732
Au 0.5000 0.0000 0.0000
Ba 0.0000 0.5000 0.0000
```

Properties
SG = Immm
energy relative to the elements = -137 kJ/mol of formula units
theoretical density = 4.90 g/cm3
energy above the most stable polymorph in this dataset = 12 meV per atom



# 2
First-principles (PBEsol) data for a relaxed structure of KMo2As2, as listed in Alexandria via LeMat-Bulk. Values from VASP.

Geometry as Quantum ESPRESSO input:
```
&SYSTEM
  ibrav = 0, nat = 5, ntyp = 3
/
ATOMIC_SPECIES
Mo 95.94 Mo.upf
As 74.92 As.upf
K 39.10 K.upf
CELL_PARAMETERS angstrom
4.7998 0.0000 0.0000
-2.3999 4.9775 -0.0042
0.0000 2.3178 4.2031
ATOMIC_POSITIONS crystal
Mo 0.6242 0.2483 0.3758
Mo 0.3758 0.7517 0.6242
As 0.7500 0.5000 0.7500
As 0.2500 0.5000 0.2500
K 0.0000 0.0000 0.0000
```

Properties
SG = I4/mmm
energy relative to the elements = 50 kJ/mol of formula units
theoretical density = 6.29 g/cm3
energy above the most stable polymorph in this dataset = 378 meV per atom



# 3
First-principles (PBEsol) data for a relaxed structure of Ba3CrHg, as listed in Alexandria via LeMat-Bulk. Values from VASP.

Geometry as Quantum ESPRESSO input:
```
&SYSTEM
  ibrav = 0, nat = 5, ntyp = 3
/
ATOMIC_SPECIES
Hg 200.59 Hg.upf
Ba 137.33 Ba.upf
Cr 52.00 Cr.upf
CELL_PARAMETERS angstrom
5.9673 0.0000 0.0000
0.0000 5.9673 0.0000
0.0000 0.0000 5.9673
ATOMIC_POSITIONS crystal
Hg 0.5000 0.5000 0.5000
Ba 0.5000 0.0000 0.0000
Ba 0.0000 0.5000 0.0000
Ba 0.0000 0.0000 0.5000
Cr 0.0000 0.0000 0.0000
```

Properties
SG = Pm-3m
energy relative to the elements = 246 kJ/mol of formula units
theoretical density = 5.19 g/cm3



# 4
First-principles (PBEsol) data for a relaxed structure of Na2IrO3, as listed in Alexandria via LeMat-Bulk. Values from VASP.

Geometry as Quantum ESPRESSO input:
```
&SYSTEM
  ibrav = 0, nat = 12, ntyp = 3
/
ATOMIC_SPECIES
O 16.00 O.upf
Na 22.99 Na.upf
Ir 192.22 Ir.upf
CELL_PARAMETERS angstrom
-2.6544 2.4265 4.1106
-2.5149 -0.7616 -4.7881
0.0354 -5.2355 1.8763
ATOMIC_POSITIONS crystal
O 0.0692 0.4376 0.2043
O 0.4376 0.0692 0.2043
O 0.9308 0.5624 0.7957
O 0.2964 0.2964 0.7934
O 0.7036 0.7036 0.2066
O 0.5624 0.9308 0.7957
Na 0.8402 0.1598 0.5000
Na 0.0000 0.0000 0.0000
Na 0.5000 0.5000 0.5000
Na 0.1598 0.8402 0.5000
Ir 0.6669 0.3331 0.0000
Ir 0.3331 0.6669 0.0000
```

Properties
SG = C2/m
formation energy from raw total energies = -1195 meV per atom
theoretical density = 7.01 g/cm3



Energy in eV for the cell shown, matching the order above: -11.76; -34.37; -14.71; -71.08